Pr4Y2Sn3O2 | GGA-PBE | relaxed

It has space group I4/mmm (No. 139), with a = 4.841 Å, b = 4.841 Å, c = 25.576 Å, α = 90.00°, β = 90.00° and γ = 90.00°. The inequivalent atoms are Pr at (0.000, 0.500, 0.084), Y at (0.000, 0.000, 0.195), Sn at (0.000, 0.000, 0.319), Sn at (0.000, 0.000, 0.500) and O at (0.000, 0.000, 0.107).

The value obtained for the formation energy from raw total energies is -1449 meV per atom. Its total magnetization is 0.00 μB per cell. Its crystal system is tetragonal.

---

SrPrO | GGA-PBE | relaxed

It has space group Amm2 (No. 38), with a = 13.285 Å, b = 3.664 Å, c = 6.342 Å, α = 90.00°, β = 90.00° and γ = 90.00°. The inequivalent atoms are Sr at (0.119, 0.000, 0.000), Pr at (0.378, 0.000, 0.662), O at (0.000, 0.000, 0.667) and O at (0.500, 0.000, 0.995).

The value obtained for the formation energy from raw total energies is -1434 meV per atom. Its total magnetization is 0.42 μB per cell. Its crystal system is orthorhombic. The energy above the most stable polymorph in this dataset is 155.7 meV/atom.

---

SrPrO4 | GGA-PBE | relaxed

It has space group Cm (No. 8), with a = 7.095 Å, b = 4.031 Å, c = 6.983 Å, α = 90.00°, β = 95.69° and γ = 90.00°. The inequivalent atoms are Sr at (0.000, 0.000, 0.000), Pr at (0.130, 0.500, 0.578), O at (0.160, 0.500, 0.905), O at (0.234, 0.000, 0.338), O at (0.396, 0.000, 0.247) and O at (0.464, 0.500, 0.619).

The value obtained for the formation energy from raw total energies is -2288 meV per atom. Its total magnetization is 2.05 μB per cell. Its crystal system is monoclinic.

---

SrPrO | GGA-PBE | relaxed

It has space group I4mm (No. 107), with a = 3.489 Å, b = 3.489 Å, c = 14.144 Å, α = 90.00°, β = 90.00° and γ = 90.00°. The inequivalent atoms are Sr at (0.000, 0.000, 0.000), Pr at (0.000, 0.000, 0.715) and O at (0.000, 0.000, 0.180).

The value obtained for the formation energy from raw total energies is -1509 meV per atom. Its total magnetization is 0.00 μB per cell. Its crystal system is tetragonal. The energy above the most stable polymorph in this dataset is 79.9 meV/atom.

---

Sr2Pr2O5 | GGA-PBE | relaxed

It has space group Cmce (No. 64), with a = 12.339 Å, b = 6.793 Å, c = 6.828 Å, α = 90.00°, β = 90.00° and γ = 90.00°. The inequivalent atoms are Sr at (0.206, 0.000, 0.000), Pr at (0.000, 0.167, 0.333), O at (0.000, 0.000, 0.000) and O at (0.129, 0.156, 0.651).

The value obtained for the formation energy from raw total energies is -2979 meV per atom. Its total magnetization is 0.00 μB per cell. Its crystal system is orthorhombic.

---

Sr3PrO4 | GGA-PBE | relaxed

It has space group Pm-3m (No. 221), with a = 5.160 Å, b = 5.160 Å, c = 5.160 Å, α = 90.00°, β = 90.00° and γ = 90.00°. The inequivalent atoms are Sr at (0.000, 0.000, 0.500), Pr at (0.500, 0.500, 0.500), O at (0.000, 0.000, 0.000) and O at (0.000, 0.500, 0.500).

The value obtained for the formation energy from raw total energies is -2677 meV per atom. Its total magnetization is 0.00 μB per cell. Its crystal system is cubic.

---

SrPr2O | GGA-PBE | relaxed

It has space group R-3m (No. 166, hexagonal axes), with a = 3.7802 Å, b = 3.7802 Å, c = 29.5665 Å, α = 90.00°, β = 90.00° and γ = 120.00°. The inequivalent atoms are Sr at (0.0000, 0.0000, 0.0000), Pr at (0.0000, 0.0000, 0.1216) and O at (0.0000, 0.0000, 0.5000).

The value obtained for the formation energy from raw total energies is -1118 meV per atom. Its total magnetization is 0.00 μB per cell. Its crystal system is trigonal.

---

SrPrO | GGA-PBE | relaxed

It has space group P3m1 (No. 156), with a = 3.7193 Å, b = 3.7193 Å, c = 6.4712 Å, α = 90.00°, β = 90.00° and γ = 120.00°. The inequivalent atoms are Sr at (0.0000, 0.0000, 0.0000), Pr at (0.6667, 0.3333, 0.5449) and O at (0.3333, 0.6667, 0.7758).

The value obtained for the formation energy from raw total energies is -1589 meV per atom. Its total magnetization is 1.04 μB per cell. Its crystal system is trigonal. The energy above the most stable polymorph in this dataset is 0.0 meV/atom.

---

SrPrTc2O8 | GGA-PBE | relaxed

It has space group I-4 (No. 82), with a = 5.399 Å, b = 5.399 Å, c = 11.972 Å, α = 90.00°, β = 90.00° and γ = 90.00°. The inequivalent atoms are Sr at (0.000, 0.000, 0.000), Pr at (0.000, 0.500, 0.750), Tc at (0.000, 0.000, 0.500), Tc at (0.000, 0.500, 0.250), O at (0.137, 0.250, 0.582) and O at (0.152, 0.749, 0.173).

The value obtained for the formation energy from raw total energies is -2108 meV per atom. Its total magnetization is 6.03 μB per cell. Its crystal system is tetragonal.

---

SrPr2TcO8 | GGA-PBE | relaxed

It has space group P2/m (No. 10), with a = 4.467 Å, b = 5.274 Å, c = 7.201 Å, α = 90.00°, β = 106.74° and γ = 90.00°. The inequivalent atoms are Sr at (0.000, 0.000, 0.000), Pr at (0.380, 0.500, 0.710), Tc at (0.000, 0.000, 0.500), O at (0.192, 0.256, 0.389), O at (0.228, 0.500, 0.996) and O at (0.338, 0.000, 0.742).

The value obtained for the formation energy from raw total energies is -2279 meV per atom. Its total magnetization is 0.00 μB per cell. Its crystal system is monoclinic.

---

SrPrTe2O8 | GGA-PBE | relaxed

It has space group I-4 (No. 82), with a = 5.501 Å, b = 5.501 Å, c = 11.921 Å, α = 90.00°, β = 90.00° and γ = 90.00°. The inequivalent atoms are Sr at (0.000, 0.000, 0.000), Pr at (0.000, 0.500, 0.750), Te at (0.000, 0.000, 0.500), Te at (0.000, 0.500, 0.250), O at (0.155, 0.253, 0.590) and O at (0.162, 0.740, 0.169).

The value obtained for the formation energy from raw total energies is -1821 meV per atom. Its total magnetization is 1.71 μB per cell. Its crystal system is tetragonal.

---

SrPrTiO4 | GGA-PBE | relaxed

It has space group I4mm (No. 107), with a = 3.923 Å, b = 3.923 Å, c = 12.633 Å, α = 90.00°, β = 90.00° and γ = 90.00°. The inequivalent atoms are Sr at (0.000, 0.000, 0.000), Pr at (0.000, 0.000, 0.288), Ti at (0.000, 0.000, 0.643), O at (0.000, 0.000, 0.472), O at (0.000, 0.000, 0.809) and O at (0.000, 0.500, 0.149).

The value obtained for the formation energy from raw total energies is -3020 meV per atom. Its total magnetization is 1.67 μB per cell. Its crystal system is tetragonal.

---

SrPr2TiO6 | GGA-PBE | relaxed

It has space group P4mm (No. 99), with a = 5.533 Å, b = 5.533 Å, c = 5.484 Å, α = 90.00°, β = 90.00° and γ = 90.00°. The inequivalent atoms are Sr at (0.000, 0.000, 0.000), Pr at (0.000, 0.500, 0.438), Ti at (0.500, 0.500, 0.064), O at (0.000, 0.000, 0.571), O at (0.271, 0.271, 0.198) and O at (0.500, 0.500, 0.730).

The value obtained for the formation energy from raw total energies is -3016 meV per atom. Its total magnetization is 0.00 μB per cell. Its crystal system is tetragonal.

---

Sr4PrTi3O12 | GGA-PBE | relaxed

It has space group Im-3m (No. 229), with a = 8.238 Å, b = 8.238 Å, c = 8.238 Å, α = 90.00°, β = 90.00° and γ = 90.00°. The inequivalent atoms are Sr at (0.250, 0.250, 0.250), Pr at (0.000, 0.000, 0.000), Ti at (0.000, 0.000, 0.500), O at (0.000, 0.000, 0.273) and O at (0.000, 0.250, 0.500).

The value obtained for the formation energy from raw total energies is -2889 meV per atom. Its total magnetization is 1.67 μB per cell. Its crystal system is cubic.

---

SrPr2UO6 | GGA-PBE | relaxed

It has space group P4mm (No. 99), with a = 5.547 Å, b = 5.547 Å, c = 5.815 Å, α = 90.00°, β = 90.00° and γ = 90.00°. The inequivalent atoms are Sr at (0.000, 0.000, 0.000), Pr at (0.000, 0.500, 0.454), U at (0.500, 0.500, 0.044), O at (0.000, 0.000, 0.595), O at (0.262, 0.262, 0.216) and O at (0.500, 0.500, 0.670).

The value obtained for the formation energy from raw total energies is -2948 meV per atom. Its total magnetization is 1.95 μB per cell. Its crystal system is tetragonal.

---

Sr2PrUO6 | GGA-PBE | relaxed

It has space group P2_1/c (No. 14), with a = 6.067 Å, b = 6.245 Å, c = 10.594 Å, α = 90.00°, β = 124.82° and γ = 90.00°. The inequivalent atoms are Sr at (0.239, 0.047, 0.252), Pr at (0.500, 0.000, 0.000), U at (0.000, 0.000, 0.500), O at (0.120, 0.214, 0.935), O at (0.232, 0.687, 0.945) and O at (0.347, 0.049, 0.736).

The value obtained for the formation energy from raw total energies is -3195 meV per atom. Its total magnetization is 2.00 μB per cell. Its crystal system is monoclinic.